Entry from the Alexandria database: a PBEsol-optimized structure of TbSiPt2 (meta-GGA SCAN).

Size of the total moment: 0.000 μB per formula unit
N(E_F): 5.81 states/eV per cell
Calculated total energy: -50.6337 eV/atom
ΔE_f (raw): -1.343 eV/atom

Cell lengths 5.458, 6.902, 7.264 Å; angles 90.00, 90.00, 90.00 degrees
Sites, in units of the cell vectors:
Pt: 0.908 0.551 0.820
Pt: 0.592 0.551 0.320
Pt: 0.408 0.449 0.680
Pt: 0.908 0.949 0.820
Pt: 0.408 0.051 0.680
Pt: 0.592 0.949 0.320
Pt: 0.092 0.051 0.180
Pt: 0.092 0.449 0.180
Tb: 0.865 0.250 0.527
Tb: 0.635 0.250 0.027
Tb: 0.135 0.750 0.473
Tb: 0.365 0.750 0.973
Si: 0.364 0.250 0.380
Si: 0.636 0.750 0.620
Si: 0.864 0.750 0.120
Si: 0.136 0.250 0.880